(1)
{
  "formula": "LiPmThSc",
  "functional": "GGA-PBE",
  "state": "relaxed",
  "formation_energy_mev_per_atom": 189,
  "cell": [[5.3877, 0.0000, 0.0000], [2.6939, 4.6659, 0.0000], [2.6939, 1.5553, 4.3991]],
  "species": ["Li", "Pm", "Th", "Sc"],
  "fractional_positions": [[0.2500, 0.2500, 0.2500], [0.0000, 0.0000, 0.0000], [0.5000, 0.5000, 0.5000], [0.7500, 0.7500, 0.7500]]
}

(2)
{
  "formula": "BaCrSi2S8",
  "functional": "GGA-PBE",
  "state": "relaxed",
  "formation_energy_uncorrected_ev_per_atom": -0.6444,
  "cell": [[-4.4589, -3.3761, -2.0112], [5.3757, -2.3832, 0.8644], [-2.1876, -1.9737, 8.1628]],
  "species": ["Si", "Si", "S", "S", "S", "S", "S", "S", "S", "S", "Ba", "Cr"],
  "fractional_positions": [[0.3333, 0.6667, 0.7178], [0.6667, 0.3333, 0.2822], [0.3333, 0.6667, 0.9605], [0.0153, 0.6842, 0.3460], [0.3311, 0.0153, 0.6540], [0.9847, 0.3158, 0.6540], [0.6842, 0.6689, 0.6540], [0.3158, 0.3311, 0.3460], [0.6689, 0.9847, 0.3460], [0.6667, 0.3333, 0.0395], [0.0000, 0.0000, 0.0000], [0.0000, 0.0000, 0.5000]]
}

(3)
{
  "formula": "ThHgGe2",
  "functional": "GGA-PBE",
  "state": "relaxed",
  "formation_energy_mev_per_atom": -390,
  "cell": [[4.2203, 0.0000, 0.0000], [0.0000, 4.6551, 0.0000], [0.0000, 0.0000, 4.6551]],
  "species": ["Ge", "Ge", "Th", "Hg"],
  "fractional_positions": [[0.0000, 0.0000, 0.5000], [0.0000, 0.5000, 0.0000], [0.5000, 0.5000, 0.5000], [0.5000, 0.0000, 0.0000]]
}

(4)
{
  "formula": "V2AsRu2",
  "functional": "GGA-PBE",
  "state": "relaxed",
  "formation_energy_mev_per_atom": 245,
  "cell": [[3.7986, 0.0000, 0.0000], [0.0000, 3.7986, 0.0000], [1.8993, 1.8993, 5.5996]],
  "species": ["Ru", "Ru", "As", "V", "V"],
  "fractional_positions": [[0.2500, 0.7500, 0.5000], [0.7500, 0.2500, 0.5000], [0.0000, 0.0000, 0.0000], [0.6126, 0.6126, 0.7747], [0.3874, 0.3874, 0.2253]]
}

| no. | D(E_F) (states/eV/cell) | density (kg/m³) |
| --- | --- | --- |
| 1 | 4.85 | 6441 |
| 2 | 6.87 | 3140 |
| 3 | 2.40 | 10493 |
| 4 | 4.03 | 7788 |